## PuCrO2 (PBE with a Hubbard U)

Data for a relaxed PuCrO2 crystal.

```
4
Lattice="3.566 0.000 0.000 1.783 3.089 0.000 1.783 1.030 5.335" Properties=species:S:1:pos:R:3 pbc="T T T"
Cr 3.566 2.059 2.668
O 1.783 1.030 1.179
O 5.350 3.089 4.156
Pu 0.000 0.000 0.000
```

Results
* DOS(E_F): 5.47 states/eV per cell
* uncorrected energy: -9.78 eV per atom